First-principles (PBE-GGA) data for crystalline SbW3 at its relaxed geometry, as listed in Alexandria via LeMat-Bulk.

Summary:
- Size of the total moment: 0.00 μB/f.u.
- Uncorrected energy: -10.19 eV per atom

a b c (Å): 4.8306 5.6260 5.0531
angles (deg): 90.00 90.00 90.00
With the nearest neighbours (Å) after each atom.
Space group Pmmn (No. 59, origin choice 2)
Symmetry-distinct sites (fractional):
Sb (0.2500, 0.2500, 0.1580)  12 W 2.82-2.96
W (0.2500, 0.5028, 0.6656)  8 W 2.78-2.95, 4 Sb 2.87-2.93
W (0.2500, 0.7500, 0.1806)  4 Sb 2.82-2.96, 8 W 2.82-2.95